# NdSnN PBE optimized geometry
data_NdSnN
_chemical_formula_sum 'Nd2 Sn2 N2'
_cell_length_a 4.2318
_cell_length_b 4.2318
_cell_length_c 8.3158
_cell_angle_alpha 90.00
_cell_angle_beta 90.00
_cell_angle_gamma 90.00
_space_group_name_H-M_alt 'P 4/n m m'
_space_group_IT_number 129
loop_
_space_group_symop_operation_xyz
'x,y,z'
'-x,-y,-z'
'-y+1/2,x,z'
'y+1/2,-x,-z'
'-x+1/2,-y+1/2,z'
'x+1/2,y+1/2,-z'
'y,-x+1/2,z'
'-y,x+1/2,-z'
'x+1/2,-y,-z'
'-x+1/2,y,z'
'-y,-x,-z'
'y,x,z'
'-x,y+1/2,-z'
'x,-y+1/2,z'
'y+1/2,x+1/2,-z'
'-y+1/2,-x+1/2,z'
loop_
_atom_site_label
_atom_site_fract_x
_atom_site_fract_y
_atom_site_fract_z
Nd1 0.2500 0.2500 0.1226
Sn1 0.2500 0.2500 0.5606
N1 0.2500 0.7500 0.0000
# DOS at the Fermi energy, states/eV per atom: 0.77
# M_tot, μB/cell: 0.505
# ΔE to the lowest computed polymorph, meV/atom: 206

=====

# Nd7Sn3N2 PBE optimized geometry
data_Nd7Sn3N2
_chemical_formula_sum 'Nd14 Sn6 N4'
_cell_length_a 4.9659
_cell_length_b 4.9659
_cell_length_c 26.3910
_cell_angle_alpha 90.00
_cell_angle_beta 90.00
_cell_angle_gamma 90.00
_space_group_name_H-M_alt 'I 4/m m m'
_space_group_IT_number 139
_space_group_name_Hall '-I 4 2'
loop_
_atom_site_label
_atom_site_fract_x
_atom_site_fract_y
_atom_site_fract_z
Nd1 0.0000 0.0000 0.0000
Nd2 0.0000 0.0000 0.1932
Nd3 0.0000 0.5000 0.0932
Sn1 0.0000 0.0000 0.3192
Sn2 0.0000 0.0000 0.5000
N1 0.0000 0.0000 0.0992
# DOS at the Fermi energy, states/eV per atom: 0.44
# M_tot, μB/cell: 0.000

=====

# Nd8Sn2N PBE optimized geometry
data_Nd8Sn2N
_chemical_formula_sum 'Nd16 Sn4 N2'
_cell_length_a 18.1876
_cell_length_b 5.6309
_cell_length_c 6.5309
_cell_angle_alpha 90.00
_cell_angle_beta 108.59
_cell_angle_gamma 90.00
_space_group_name_H-M_alt 'C 1 2/m 1'
_space_group_IT_number 12
loop_
_space_group_symop_operation_xyz
'x,y,z'
'-x,-y,-z'
'-x,y,-z'
'x,-y,z'
'x+1/2,y+1/2,z'
'-x+1/2,-y+1/2,-z'
'-x+1/2,y+1/2,-z'
'x+1/2,-y+1/2,z'
loop_
_atom_site_label
_atom_site_fract_x
_atom_site_fract_y
_atom_site_fract_z
Nd1 0.0023 0.0000 0.2446
Nd2 0.0771 0.5000 0.7565
Nd3 0.1280 0.5000 0.2930
Nd4 0.2226 0.0000 0.1576
Sn1 0.1715 0.0000 0.6255
N1 0.0000 0.5000 0.0000
# DOS at the Fermi energy, states/eV per atom: 1.22
# M_tot, μB/cell: 0.003

=====

# Nd2SnN PBE optimized geometry
data_Nd2SnN
_chemical_formula_sum 'Nd6 Sn3 N3'
_cell_length_a 3.6864
_cell_length_b 3.6864
_cell_length_c 24.1925
_cell_angle_alpha 90.00
_cell_angle_beta 90.00
_cell_angle_gamma 120.00
_space_group_name_H-M_alt 'R -3 m'
_space_group_IT_number 166
_space_group_name_Hall '-R 3 2"'
loop_
_atom_site_label
_atom_site_fract_x
_atom_site_fract_y
_atom_site_fract_z
Nd1 0.0000 0.0000 0.2244
Sn1 0.0000 0.0000 0.0000
N1 0.0000 0.0000 0.5000
# DOS at the Fermi energy, states/eV per atom: 0.28
# M_tot, μB/cell: 0.000

=====

# Nd2SnN PBE optimized geometry
data_Nd2SnN
_chemical_formula_sum 'Nd12 Sn6 N6'
_cell_length_a 6.3522
_cell_length_b 7.3828
_cell_length_c 13.6144
_cell_angle_alpha 78.88
_cell_angle_beta 77.22
_cell_angle_gamma 89.85
_space_group_name_H-M_alt 'P -1'
_space_group_IT_number 2
loop_
_space_group_symop_operation_xyz
'x,y,z'
'-x,-y,-z'
loop_
_atom_site_label
_atom_site_fract_x
_atom_site_fract_y
_atom_site_fract_z
Nd1 0.1771 0.4464 0.1483
Nd2 0.1784 0.9492 0.1452
Nd3 0.1906 0.3905 0.5651
Nd4 0.2479 0.9242 0.4950
Nd5 0.2855 0.7713 0.9341
Nd6 0.2894 0.2798 0.9189
Sn1 0.3270 0.6408 0.3224
Sn2 0.3469 0.0564 0.7166
Sn3 0.3656 0.6503 0.7090
N1 0.0000 0.0000 0.0000
N2 0.0000 0.5000 0.0000
N3 0.0798 0.2026 0.4780
N4 0.5000 0.0000 0.0000
N5 0.5000 0.5000 0.0000
# DOS at the Fermi energy, states/eV per atom: 0.37
# M_tot, μB/cell: 0.000

=====

# Nd2SnN PBE optimized geometry
data_Nd2SnN
_chemical_formula_sum 'Nd2 Sn1 N1'
_cell_length_a 3.2467
_cell_length_b 3.2467
_cell_length_c 8.0590
_cell_angle_alpha 90.00
_cell_angle_beta 90.00
_cell_angle_gamma 90.00
_space_group_name_H-M_alt 'P 4/m m m'
_space_group_IT_number 123
_space_group_name_Hall '-P 4 2'
loop_
_atom_site_label
_atom_site_fract_x
_atom_site_fract_y
_atom_site_fract_z
Nd1 0.0000 0.0000 0.1855
Sn1 0.5000 0.5000 0.5000
N1 0.5000 0.5000 0.0000
# DOS at the Fermi energy, states/eV per atom: 0.56
# M_tot, μB/cell: 0.000

=====

# Nd12Sn3N5 PBE optimized geometry
data_Nd12Sn3N5
_chemical_formula_sum 'Nd96 Sn24 N40'
_cell_length_a 16.2354
_cell_length_b 16.2354
_cell_length_c 16.2354
_cell_angle_alpha 90.00
_cell_angle_beta 90.00
_cell_angle_gamma 90.00
_space_group_name_H-M_alt 'I a -3 d'
_space_group_IT_number 230
_space_group_name_Hall '-I 4bd 2c 3'
loop_
_atom_site_label
_atom_site_fract_x
_atom_site_fract_y
_atom_site_fract_z
Nd1 0.0371 0.0504 0.6474
Sn1 0.0000 0.2500 0.1250
N1 0.0000 0.0000 0.0000
N2 0.0000 0.2500 0.3750
# DOS at the Fermi energy, states/eV per atom: 0.58
# M_tot, μB/cell: 0.004

=====

# NdSnN PBE optimized geometry
data_NdSnN
_chemical_formula_sum 'Nd4 Sn4 N4'
_cell_length_a 5.1491
_cell_length_b 5.1507
_cell_length_c 9.6704
_cell_angle_alpha 90.00
_cell_angle_beta 90.16
_cell_angle_gamma 90.00
_space_group_name_H-M_alt 'C 1 2/m 1'
_space_group_IT_number 12
loop_
_space_group_symop_operation_xyz
'x,y,z'
'-x,-y,-z'
'-x,y,-z'
'x,-y,z'
'x+1/2,y+1/2,z'
'-x+1/2,-y+1/2,-z'
'-x+1/2,y+1/2,-z'
'x+1/2,-y+1/2,z'
loop_
_atom_site_label
_atom_site_fract_x
_atom_site_fract_y
_atom_site_fract_z
Nd1 0.2492 0.0000 0.3701
Sn1 0.2482 0.5000 0.1373
N1 0.2493 0.5000 0.3809
# DOS at the Fermi energy, states/eV per atom: 0.29
# M_tot, μB/cell: 0.000
# ΔE to the lowest computed polymorph, meV/atom: 0

=====

# Nd4SnN PBE optimized geometry
data_Nd4SnN
_chemical_formula_sum 'Nd16 Sn4 N4'
_cell_length_a 4.9932
_cell_length_b 19.2047
_cell_length_c 6.9225
_cell_angle_alpha 90.00
_cell_angle_beta 90.00
_cell_angle_gamma 90.00
_space_group_name_H-M_alt 'C m c m'
_space_group_IT_number 63
_space_group_name_Hall '-C 2c 2'
loop_
_atom_site_label
_atom_site_fract_x
_atom_site_fract_y
_atom_site_fract_z
Nd1 0.0000 0.0000 0.0000
Nd2 0.0000 0.1823 0.0069
Nd3 0.0000 0.4102 0.2500
Sn1 0.0000 0.4067 0.7500
N1 0.0000 0.0988 0.7500
# DOS at the Fermi energy, states/eV per atom: 0.72
# M_tot, μB/cell: 0.000

=====

# Nd5Sn2N PBE optimized geometry
data_Nd5Sn2N
_chemical_formula_sum 'Nd20 Sn8 N4'
_cell_length_a 5.9146
_cell_length_b 15.5074
_cell_length_c 11.8304
_cell_angle_alpha 90.00
_cell_angle_beta 90.00
_cell_angle_gamma 90.00
_space_group_name_H-M_alt 'C m c m'
_space_group_IT_number 63
_space_group_name_Hall '-C 2c 2'
loop_
_atom_site_label
_atom_site_fract_x
_atom_site_fract_y
_atom_site_fract_z
Nd1 0.0000 0.0672 0.1160
Nd2 0.0000 0.2903 0.0915
Nd3 0.0000 0.3253 0.7500
Sn1 0.0000 0.1451 0.6222
N1 0.0000 0.1807 0.2500
# DOS at the Fermi energy, states/eV per atom: 1.05
# M_tot, μB/cell: 0.001

=====

# SrNd2SnN4 PBE optimized geometry
data_SrNd2SnN4
_chemical_formula_sum 'Sr4 Nd8 Sn4 N16'
_cell_length_a 3.5958
_cell_length_b 12.5157
_cell_length_c 12.6111
_cell_angle_alpha 90.00
_cell_angle_beta 90.00
_cell_angle_gamma 90.00
_space_group_name_H-M_alt 'C m c m'
_space_group_IT_number 63
_space_group_name_Hall '-C 2c 2'
loop_
_atom_site_label
_atom_site_fract_x
_atom_site_fract_y
_atom_site_fract_z
Sr1 0.0000 0.1055 0.2500
Nd1 0.0000 0.3701 0.0325
Sn1 0.0000 0.1607 0.7500
N1 0.0000 0.0000 0.0000
N2 0.0000 0.2600 0.6196
N3 0.0000 0.4370 0.2500
# M_tot, μB/cell: 0.000

=====

# Tb2NdSnN4 PBE optimized geometry
data_Tb2NdSnN4
_chemical_formula_sum 'Tb8 Nd4 Sn4 N16'
_cell_length_a 3.5843
_cell_length_b 11.8413
_cell_length_c 12.1212
_cell_angle_alpha 90.00
_cell_angle_beta 90.00
_cell_angle_gamma 90.00
_space_group_name_H-M_alt 'C m c m'
_space_group_IT_number 63
_space_group_name_Hall '-C 2c 2'
loop_
_atom_site_label
_atom_site_fract_x
_atom_site_fract_y
_atom_site_fract_z
Tb1 0.0000 0.1291 0.0357
Nd1 0.0000 0.3849 0.2500
Sn1 0.0000 0.3524 0.7500
N1 0.0000 0.0500 0.2500
N2 0.0000 0.2333 0.6217
N3 0.0000 0.5000 0.0000
# DOS at the Fermi energy, states/eV per atom: 0.20
# M_tot, μB/cell: 0.000

=====

no.,formation energy without anion corrections (eV per atom)
1,-0.617
2,-0.922
3,-0.365
4,-1.008
5,-0.833
6,-0.586
7,-0.849
8,-0.823
9,-0.699
10,-0.326
11,-0.758
12,-0.866